Entry from the Alexandria database: CaBe2Pt after structural relaxation (GGA-PBE).

The total DFT energy (no corrections) comes out at -16.76 eV/f.u. As for the energy of formation from the pure elements: -0.315 eV per atom. The calculation puts the calculated density at 5.6 Mg/m³.

a = 4.456 Å, b = 4.456 Å, c = 15.221 Å
α = 90.00°, β = 90.00°, γ = 90.00°
Sites, in units of the cell vectors:
1 Ca 0.000 0.250 0.375
2 Ca 0.000 0.750 0.625
3 Ca 0.500 0.250 0.125
4 Ca 0.500 0.750 0.875
5 Be 0.000 0.000 0.000
6 Be 0.000 0.500 0.000
7 Be 0.250 0.250 0.750
8 Be 0.250 0.750 0.250
9 Be 0.500 0.000 0.500
10 Be 0.500 0.500 0.500
11 Be 0.750 0.250 0.750
12 Be 0.750 0.750 0.250
13 Pt 0.000 0.250 0.875
14 Pt 0.000 0.750 0.125
15 Pt 0.500 0.250 0.625
16 Pt 0.500 0.750 0.375



Entry from the Alexandria database: Ca2BePt after structural relaxation (GGA-PBE).

The total DFT energy (no corrections) comes out at -16.09 eV/f.u. As for the energy of formation from the pure elements: -0.579 eV per atom. The calculation puts the calculated density at 4.6 Mg/m³.

a = 3.974 Å, b = 3.974 Å, c = 22.556 Å
α = 90.00°, β = 90.00°, γ = 120.00°
Sites, in units of the cell vectors:
1 Ca 0.000 0.000 0.000
2 Ca 0.000 0.000 0.178
3 Ca 0.333 0.667 0.667
4 Ca 0.333 0.667 0.845
5 Ca 0.667 0.333 0.333
6 Ca 0.667 0.333 0.511
7 Be 0.000 0.000 0.422
8 Be 0.333 0.667 0.089
9 Be 0.667 0.333 0.756
10 Pt 0.000 0.000 0.756
11 Pt 0.333 0.667 0.422
12 Pt 0.667 0.333 0.089



Entry from the Alexandria database: CaBePt3 after structural relaxation (GGA-PBE).

The total DFT energy (no corrections) comes out at -24.96 eV/f.u. As for the energy of formation from the pure elements: -0.222 eV per atom. The calculation puts the calculated density at 8.7 Mg/m³.

a = 10.938 Å, b = 10.938 Å, c = 10.938 Å
α = 154.47°, β = 154.47°, γ = 36.42°
Sites, in units of the cell vectors:
1 Ca 0.000 0.000 0.000
2 Ca 0.750 0.250 0.500
3 Be 0.130 0.630 0.500
4 Be 0.370 0.870 0.500
5 Pt 0.372 0.125 0.247
6 Pt 0.373 0.373 0.000
7 Pt 0.627 0.627 0.000
8 Pt 0.875 0.122 0.247
9 Pt 0.875 0.628 0.753
10 Pt 0.878 0.125 0.753



Entry from the Alexandria database: CaBePt3 after structural relaxation (GGA-PBE).

The total DFT energy (no corrections) comes out at -27.33 eV/f.u. As for the energy of formation from the pure elements: -0.697 eV per atom. The calculation puts the calculated density at 12.7 Mg/m³.

a = 5.249 Å, b = 5.555 Å, c = 6.215 Å
α = 98.03°, β = 112.11°, γ = 91.30°
Sites, in units of the cell vectors:
1 Ca 0.000 0.000 0.000
2 Ca 0.087 0.539 0.351
3 Be 0.412 0.947 0.776
4 Be 0.579 0.493 0.846
5 Pt 0.008 0.049 0.488
6 Pt 0.077 0.469 0.838
7 Pt 0.536 0.778 0.125
8 Pt 0.537 0.268 0.117
9 Pt 0.546 0.183 0.553
10 Pt 0.649 0.699 0.575



Entry from the Alexandria database: CaBePt3 after structural relaxation (GGA-PBE).

The total DFT energy (no corrections) comes out at -27.54 eV/f.u. As for the energy of formation from the pure elements: -0.738 eV per atom. The calculation puts the calculated density at 12.7 Mg/m³.

a = 6.369 Å, b = 3.981 Å, c = 6.698 Å
α = 90.00°, β = 102.82°, γ = 90.00°
Sites, in units of the cell vectors:
1 Ca 0.177 0.250 0.180
2 Ca 0.823 0.750 0.820
3 Be 0.454 0.250 0.753
4 Be 0.546 0.750 0.247
5 Pt 0.096 0.250 0.634
6 Pt 0.348 0.750 0.911
7 Pt 0.354 0.750 0.510
8 Pt 0.646 0.250 0.490
9 Pt 0.652 0.250 0.089
10 Pt 0.904 0.750 0.366



Entry from the Alexandria database: Ca2Be4Pt5 after structural relaxation (GGA-PBE).

The total DFT energy (no corrections) comes out at -58.19 eV/f.u. As for the energy of formation from the pure elements: -0.825 eV per atom. The calculation puts the calculated density at 10.3 Mg/m³.

a = 8.137 Å, b = 7.137 Å, c = 5.551 Å
α = 78.69°, β = 59.32°, γ = 41.99°
Sites, in units of the cell vectors:
1 Ca 0.133 0.133 0.867
2 Ca 0.867 0.867 0.133
3 Be 0.210 0.531 0.469
4 Be 0.469 0.790 0.210
5 Be 0.531 0.210 0.790
6 Be 0.790 0.469 0.531
7 Pt 0.000 0.000 0.500
8 Pt 0.250 0.250 0.250
9 Pt 0.500 0.500 0.000
10 Pt 0.500 0.500 0.500
11 Pt 0.750 0.750 0.750



Entry from the Alexandria database: Ca2BePt after structural relaxation (GGA-PBE).

The total DFT energy (no corrections) comes out at -14.25 eV/f.u. As for the energy of formation from the pure elements: -0.119 eV per atom. The calculation puts the calculated density at 5.8 Mg/m³.

a = 4.360 Å, b = 4.360 Å, c = 8.614 Å
α = 90.00°, β = 90.00°, γ = 90.00°
Sites, in units of the cell vectors:
1 Ca 0.000 0.000 0.000
2 Ca 0.000 0.500 0.250
3 Ca 0.500 0.000 0.750
4 Ca 0.500 0.500 0.500
5 Be 0.000 0.000 0.500
6 Be 0.500 0.500 0.000
7 Pt 0.000 0.500 0.750
8 Pt 0.500 0.000 0.250



Entry from the Alexandria database: CaBePt3 after structural relaxation (GGA-PBE).

The total DFT energy (no corrections) comes out at -27.37 eV/f.u. As for the energy of formation from the pure elements: -0.704 eV per atom. The calculation puts the calculated density at 12.5 Mg/m³.

a = 5.468 Å, b = 5.496 Å, c = 5.637 Å
α = 90.00°, β = 93.73°, γ = 90.00°
Sites, in units of the cell vectors:
1 Ca 0.000 0.000 0.000
2 Ca 0.463 0.000 0.631
3 Be 0.177 0.500 0.233
4 Be 0.620 0.500 0.457
5 Pt 0.243 0.500 0.806
6 Pt 0.500 0.241 0.157
7 Pt 0.500 0.759 0.157
8 Pt 0.749 0.500 0.839
9 Pt 0.961 0.244 0.474
10 Pt 0.961 0.756 0.474



Entry from the Alexandria database: CaBePt3 after structural relaxation (GGA-PBE).

The total DFT energy (no corrections) comes out at -27.15 eV/f.u. As for the energy of formation from the pure elements: -0.659 eV per atom. The calculation puts the calculated density at 12.4 Mg/m³.

a = 8.430 Å, b = 4.669 Å, c = 11.145 Å
α = 90.00°, β = 129.37°, γ = 90.00°
Sites, in units of the cell vectors:
1 Ca 0.177 0.244 0.043
2 Ca 0.177 0.256 0.543
3 Ca 0.823 0.744 0.457
4 Ca 0.823 0.756 0.957
5 Be 0.215 0.517 0.318
6 Be 0.215 0.983 0.818
7 Be 0.785 0.017 0.182
8 Be 0.785 0.483 0.682
9 Pt 0.117 0.014 0.276
10 Pt 0.117 0.486 0.776
11 Pt 0.394 0.745 0.254
12 Pt 0.394 0.755 0.754
13 Pt 0.481 0.749 0.558
14 Pt 0.481 0.751 0.058
15 Pt 0.519 0.249 0.942
16 Pt 0.519 0.251 0.442
17 Pt 0.606 0.245 0.246
18 Pt 0.606 0.255 0.746
19 Pt 0.883 0.514 0.224
20 Pt 0.883 0.986 0.724



Entry from the Alexandria database: CaBePt3 after structural relaxation (GGA-PBE).

The total DFT energy (no corrections) comes out at -24.48 eV/f.u. As for the energy of formation from the pure elements: -0.126 eV per atom. The calculation puts the calculated density at 9.3 Mg/m³.

a = 2.928 Å, b = 5.693 Å, c = 13.627 Å
α = 90.00°, β = 90.00°, γ = 90.00°
Sites, in units of the cell vectors:
1 Ca 0.000 0.000 0.000
2 Ca 0.000 0.500 0.500
3 Be 0.500 0.000 0.635
4 Be 0.500 0.500 0.135
5 Pt 0.000 0.234 0.187
6 Pt 0.000 0.266 0.687
7 Pt 0.000 0.734 0.687
8 Pt 0.000 0.766 0.187
9 Pt 0.500 0.000 0.824
10 Pt 0.500 0.500 0.324



Entry from the Alexandria database: Ca2BePt after structural relaxation (GGA-PBE).

The total DFT energy (no corrections) comes out at -14.20 eV/f.u. As for the energy of formation from the pure elements: -0.108 eV per atom. The calculation puts the calculated density at 6.0 Mg/m³.

a = 6.791 Å, b = 6.791 Å, c = 6.791 Å
α = 90.00°, β = 90.00°, γ = 90.00°
Sites, in units of the cell vectors:
1 Ca 0.000 0.000 0.000
2 Ca 0.000 0.500 0.500
3 Ca 0.250 0.250 0.250
4 Ca 0.250 0.750 0.750
5 Ca 0.500 0.000 0.500
6 Ca 0.500 0.500 0.000
7 Ca 0.750 0.250 0.750
8 Ca 0.750 0.750 0.250
9 Be 0.250 0.250 0.750
10 Be 0.250 0.750 0.250
11 Be 0.750 0.250 0.250
12 Be 0.750 0.750 0.750
13 Pt 0.000 0.000 0.500
14 Pt 0.000 0.500 0.000
15 Pt 0.500 0.000 0.000
16 Pt 0.500 0.500 0.500



Entry from the Alexandria database: CaBe2Pt after structural relaxation (GGA-PBE).

The total DFT energy (no corrections) comes out at -15.01 eV/f.u. As for the energy of formation from the pure elements: 0.121 eV per atom. The calculation puts the calculated density at 6.7 Mg/m³.

a = 3.939 Å, b = 3.939 Å, c = 4.060 Å
α = 90.00°, β = 90.00°, γ = 90.00°
Sites, in units of the cell vectors:
1 Ca 0.000 0.000 0.000
2 Be 0.000 0.500 0.500
3 Be 0.500 0.000 0.500
4 Pt 0.500 0.500 0.000



Entry from the Alexandria database: Ca3BePt3 after structural relaxation (GGA-PBE).

The total DFT energy (no corrections) comes out at -33.77 eV/f.u. As for the energy of formation from the pure elements: -0.845 eV per atom. The calculation puts the calculated density at 8.1 Mg/m³.

a = 5.685 Å, b = 5.685 Å, c = 14.144 Å
α = 90.00°, β = 90.00°, γ = 139.90°
Sites, in units of the cell vectors:
1 Ca 0.004 0.996 0.750
2 Ca 0.287 0.713 0.604
3 Ca 0.287 0.713 0.896
4 Ca 0.713 0.287 0.104
5 Ca 0.713 0.287 0.396
6 Ca 0.996 0.004 0.250
7 Be 0.000 0.000 0.000
8 Be 0.000 0.000 0.500
9 Pt 0.293 0.707 0.250
10 Pt 0.428 0.572 0.081
11 Pt 0.428 0.572 0.419
12 Pt 0.572 0.428 0.581
13 Pt 0.572 0.428 0.919
14 Pt 0.707 0.293 0.750



Entry from the Alexandria database: CaBePt3 after structural relaxation (GGA-PBE).

The total DFT energy (no corrections) comes out at -25.30 eV/f.u. As for the energy of formation from the pure elements: -0.290 eV per atom. The calculation puts the calculated density at 12.5 Mg/m³.

a = 5.533 Å, b = 5.533 Å, c = 5.533 Å
α = 86.83°, β = 86.83°, γ = 86.83°
Sites, in units of the cell vectors:
1 Ca 0.000 0.000 0.000
2 Ca 0.500 0.500 0.500
3 Be 0.250 0.250 0.250
4 Be 0.750 0.750 0.750
5 Pt 0.030 0.750 0.470
6 Pt 0.250 0.530 0.970
7 Pt 0.470 0.030 0.750
8 Pt 0.530 0.970 0.250
9 Pt 0.750 0.470 0.030
10 Pt 0.970 0.250 0.530



Entry from the Alexandria database: CaBePt3 after structural relaxation (GGA-PBE).

The total DFT energy (no corrections) comes out at -27.48 eV/f.u. As for the energy of formation from the pure elements: -0.727 eV per atom. The calculation puts the calculated density at 12.7 Mg/m³.

a = 5.371 Å, b = 5.515 Å, c = 5.745 Å
α = 102.67°, β = 93.68°, γ = 91.64°
Sites, in units of the cell vectors:
1 Ca 0.000 0.000 0.000
2 Ca 0.019 0.607 0.399
3 Be 0.500 0.083 0.838
4 Be 0.723 0.479 0.904
5 Pt 0.151 0.468 0.877
6 Pt 0.264 0.105 0.505
7 Pt 0.510 0.820 0.147
8 Pt 0.517 0.334 0.194
9 Pt 0.538 0.693 0.639
10 Pt 0.774 0.171 0.561



Entry from the Alexandria database: CaBePt3 after structural relaxation (GGA-PBE).

The total DFT energy (no corrections) comes out at -27.33 eV/f.u. As for the energy of formation from the pure elements: -0.697 eV per atom. The calculation puts the calculated density at 12.7 Mg/m³.

a = 6.436 Å, b = 6.436 Å, c = 5.153 Å
α = 90.00°, β = 90.00°, γ = 128.84°
Sites, in units of the cell vectors:
1 Ca 0.093 0.907 0.750
2 Ca 0.907 0.093 0.250
3 Be 0.326 0.674 0.250
4 Be 0.674 0.326 0.750
5 Pt 0.082 0.432 0.750
6 Pt 0.432 0.082 0.250
7 Pt 0.500 0.500 0.000
8 Pt 0.500 0.500 0.500
9 Pt 0.568 0.918 0.750
10 Pt 0.918 0.568 0.250



Entry from the Alexandria database: CaBePt3 after structural relaxation (GGA-PBE).

The total DFT energy (no corrections) comes out at -27.26 eV/f.u. As for the energy of formation from the pure elements: -0.682 eV per atom. The calculation puts the calculated density at 12.6 Mg/m³.

a = 4.270 Å, b = 6.681 Å, c = 5.842 Å
α = 90.00°, β = 90.00°, γ = 90.00°
Sites, in units of the cell vectors:
1 Ca 0.000 0.000 0.000
2 Ca 0.000 0.500 0.500
3 Be 0.500 0.000 0.603
4 Be 0.500 0.500 0.103
5 Pt 0.000 0.000 0.501
6 Pt 0.000 0.500 0.001
7 Pt 0.500 0.217 0.284
8 Pt 0.500 0.283 0.784
9 Pt 0.500 0.717 0.784
10 Pt 0.500 0.783 0.284



Entry from the Alexandria database: CaBePt3 after structural relaxation (GGA-PBE).

The total DFT energy (no corrections) comes out at -27.29 eV/f.u. As for the energy of formation from the pure elements: -0.689 eV per atom. The calculation puts the calculated density at 12.0 Mg/m³.

a = 8.532 Å, b = 8.532 Å, c = 5.488 Å
α = 106.40°, β = 106.40°, γ = 27.31°
Sites, in units of the cell vectors:
1 Ca 0.083 0.083 0.337
2 Ca 0.917 0.917 0.663
3 Be 0.295 0.295 0.813
4 Be 0.705 0.705 0.187
5 Pt 0.167 0.167 0.888
6 Pt 0.280 0.280 0.378
7 Pt 0.435 0.435 0.087
8 Pt 0.565 0.565 0.913
9 Pt 0.720 0.720 0.622
10 Pt 0.833 0.833 0.112



Entry from the Alexandria database: CaBePt3 after structural relaxation (GGA-PBE).

The total DFT energy (no corrections) comes out at -26.96 eV/f.u. As for the energy of formation from the pure elements: -0.622 eV per atom. The calculation puts the calculated density at 11.8 Mg/m³.

a = 7.379 Å, b = 7.379 Å, c = 6.947 Å
α = 102.47°, β = 102.47°, γ = 95.57°
Sites, in units of the cell vectors:
1 Ca 0.031 0.276 0.149
2 Ca 0.276 0.031 0.649
3 Ca 0.724 0.969 0.351
4 Ca 0.969 0.724 0.851
5 Be 0.314 0.686 0.250
6 Be 0.488 0.512 0.750
7 Be 0.512 0.488 0.250
8 Be 0.686 0.314 0.750
9 Pt 0.029 0.720 0.300
10 Pt 0.190 0.530 0.566
11 Pt 0.280 0.971 0.200
12 Pt 0.296 0.459 0.954
13 Pt 0.459 0.296 0.454
14 Pt 0.470 0.810 0.934
15 Pt 0.530 0.190 0.066
16 Pt 0.541 0.704 0.546
17 Pt 0.704 0.541 0.046
18 Pt 0.720 0.029 0.800
19 Pt 0.810 0.470 0.434
20 Pt 0.971 0.280 0.700



Entry from the Alexandria database: CaBePt3 after structural relaxation (GGA-PBE).

The total DFT energy (no corrections) comes out at -25.84 eV/f.u. As for the energy of formation from the pure elements: -0.397 eV per atom. The calculation puts the calculated density at 11.1 Mg/m³.

a = 8.127 Å, b = 8.127 Å, c = 8.127 Å
α = 60.00°, β = 60.00°, γ = 60.00°
Sites, in units of the cell vectors:
1 Ca 0.000 0.000 0.000
2 Ca 0.000 0.000 0.500
3 Ca 0.000 0.500 0.000
4 Ca 0.500 0.000 0.000
5 Be 0.000 0.500 0.500
6 Be 0.500 0.000 0.500
7 Be 0.500 0.500 0.000
8 Be 0.500 0.500 0.500
9 Pt 0.174 0.174 0.576
10 Pt 0.174 0.576 0.174
11 Pt 0.174 0.576 0.576
12 Pt 0.424 0.424 0.826
13 Pt 0.424 0.826 0.424
14 Pt 0.424 0.826 0.826
15 Pt 0.576 0.174 0.174
16 Pt 0.576 0.174 0.576
17 Pt 0.576 0.576 0.174
18 Pt 0.826 0.424 0.424
19 Pt 0.826 0.424 0.826
20 Pt 0.826 0.826 0.424



Entry from the Alexandria database: CaBe2Pt after structural relaxation (GGA-PBE).

The total DFT energy (no corrections) comes out at -17.77 eV/f.u. As for the energy of formation from the pure elements: -0.570 eV per atom. The calculation puts the calculated density at 6.3 Mg/m³.

a = 3.821 Å, b = 6.229 Å, c = 5.610 Å
α = 90.00°, β = 90.00°, γ = 90.00°
Sites, in units of the cell vectors:
1 Ca 0.250 0.250 0.096
2 Ca 0.750 0.750 0.904
3 Be 0.250 0.053 0.579
4 Be 0.250 0.447 0.579
5 Be 0.750 0.553 0.421
6 Be 0.750 0.947 0.421
7 Pt 0.250 0.750 0.342
8 Pt 0.750 0.250 0.658



Entry from the Alexandria database: Ca2BePt2 after structural relaxation (GGA-PBE).

The total DFT energy (no corrections) comes out at -22.70 eV/f.u. As for the energy of formation from the pure elements: -0.578 eV per atom. The calculation puts the calculated density at 8.1 Mg/m³.

a = 6.578 Å, b = 6.578 Å, c = 4.570 Å
α = 90.00°, β = 90.00°, γ = 90.00°
Sites, in units of the cell vectors:
1 Ca 0.170 0.330 0.000
2 Ca 0.330 0.830 0.000
3 Ca 0.670 0.170 0.000
4 Ca 0.830 0.670 0.000
5 Be 0.000 0.000 0.500
6 Be 0.500 0.500 0.500
7 Pt 0.149 0.649 0.500
8 Pt 0.351 0.149 0.500
9 Pt 0.649 0.851 0.500
10 Pt 0.851 0.351 0.500



Entry from the Alexandria database: Ca2BePt after structural relaxation (GGA-PBE).

The total DFT energy (no corrections) comes out at -14.75 eV/f.u. As for the energy of formation from the pure elements: -0.245 eV per atom. The calculation puts the calculated density at 5.5 Mg/m³.

a = 3.567 Å, b = 3.567 Å, c = 6.801 Å
α = 90.00°, β = 90.00°, γ = 90.00°
Sites, in units of the cell vectors:
1 Ca 0.000 0.000 0.244
2 Ca 0.000 0.000 0.756
3 Be 0.500 0.500 0.500
4 Pt 0.500 0.500 0.000